No. 1
The following is a PBE-GGA calculation of a relaxed YMg2As crystal, from the Alexandria database.

Output
- symmetry = R3m, No. 160
- density of states at the Fermi level (states/eV per atom) = 0.461
- calculated volume (Å³ per cell) = 329.7
- calculated formation energy (meV/atom) = -371

Unit cell a=3.9869 b=3.9869 c=23.9487 alpha=90.00 beta=90.00 gamma=120.00
Atoms (fractional coordinates):
1 Y 0.0000 0.0000 0.0000
2 Y 0.3333 0.6667 0.6667
3 Y 0.6667 0.3333 0.3333
4 Mg 0.0000 0.0000 0.2261
5 Mg 0.0000 0.0000 0.4584
6 Mg 0.3333 0.6667 0.1251
7 Mg 0.3333 0.6667 0.8928
8 Mg 0.6667 0.3333 0.5595
9 Mg 0.6667 0.3333 0.7918
10 As 0.0000 0.0000 0.7351
11 As 0.3333 0.6667 0.4018
12 As 0.6667 0.3333 0.0684


No. 2
The following is a PBE-GGA calculation of a relaxed Y2MgAs crystal, from the Alexandria database.

Output
- energy relative to the lowest polymorph listed for this composition (meV/atom) = 313
- symmetry = I-42d, No. 122
- density of states at the Fermi level (states/eV per atom) = 0.743
- calculated volume (Å³ per cell) = 447.4
- calculated formation energy (meV/atom) = -389

Unit cell a=8.1278 b=8.1278 c=6.7727 alpha=90.00 beta=90.00 gamma=90.00
Atoms (fractional coordinates):
1 Y 0.2125 0.7500 0.1250
2 Y 0.2500 0.2125 0.8750
3 Y 0.2500 0.2875 0.3750
4 Y 0.2875 0.7500 0.6250
5 Y 0.7125 0.2500 0.6250
6 Y 0.7500 0.7125 0.3750
7 Y 0.7500 0.7875 0.8750
8 Y 0.7875 0.2500 0.1250
9 Mg 0.0000 0.0000 0.5000
10 Mg 0.0000 0.5000 0.7500
11 Mg 0.5000 0.0000 0.2500
12 Mg 0.5000 0.5000 0.0000
13 As 0.0000 0.0000 0.0000
14 As 0.0000 0.5000 0.2500
15 As 0.5000 0.0000 0.7500
16 As 0.5000 0.5000 0.5000


No. 3
The following is a PBE-GGA calculation of a relaxed YMgAs2 crystal, from the Alexandria database.

Output
- symmetry = P4mm, No. 99
- density of states at the Fermi level (states/eV per atom) = 0.807
- calculated volume (Å³ per cell) = 95.0
- calculated formation energy (meV/atom) = -846

Unit cell a=4.0541 b=4.0541 c=5.7802 alpha=90.00 beta=90.00 gamma=90.00
Atoms (fractional coordinates):
1 Y 0.0000 0.0000 0.0000
2 Mg 0.5000 0.5000 0.5016
3 As 0.0000 0.0000 0.5001
4 As 0.5000 0.5000 0.0013